Run i
Material: RuW2Cl
Method: DFT, PBEsol
State: relaxed

abc: 2.8976 4.4654 5.2036
angles: 115.41 106.17 90.00
Last column: nearest neighbours and their distance in Å.
Atoms (fractional coordinates):
Cl (0.5000, 0.0000, 0.0000)  4 W 2.50, 4 Ru 2.66
Ru (0.0000, 0.5000, 0.0000)  4 Cl 2.66, 4 W 2.83, 2 Ru 2.90
W (0.7721, 0.7721, 0.5442)  2 Cl 2.50, 4 W 2.69
W (0.2279, 0.2279, 0.4558)  2 Cl 2.50, 4 W 2.69

Calculated values
mass density	14.471	g/cm3
Fermi-level density of states	2.97	states/eV per cell
space-group type	Immm
crystal system	orthorhombic

---

Run ii
Material: RuW2Cl
Method: DFT, PBEsol
State: relaxed

abc: 2.8004 4.8946 4.8946
angles: 116.65 90.00 90.00
Last column: nearest neighbours and their distance in Å.
Atoms (fractional coordinates):
Cl (0.5000, 0.0000, 0.0000)  2 Ru 2.57, 2 Cl 2.80, 8 W 2.82
Ru (0.5000, 0.5000, 0.5000)  2 Cl 2.57, 2 Ru 2.80, 8 W 2.82
W (0.0000, 0.5000, 0.0000)  4 W 2.57-2.80, 4 Ru 2.82, 4 Cl 2.82
W (0.0000, 0.0000, 0.5000)  4 W 2.57-2.80, 4 Cl 2.82, 4 Ru 2.82

Calculated values
mass density	13.963	g/cm3
Fermi-level density of states	3.27	states/eV per cell
space-group type	Cmmm
crystal system	orthorhombic

---

Run iii
Material: RuW2Cl
Method: DFT, PBEsol
State: relaxed

abc: 2.8485 2.8485 7.3488
angles: 90.00 90.00 90.00
Last column: nearest neighbours and their distance in Å.
Atoms (fractional coordinates):
Cl (0.0000, 0.0000, 0.4900)  4 W 2.62, 4 Ru 2.83, 4 Cl 2.85
Ru (0.5000, 0.5000, 0.7597)  4 W 2.62, 4 Cl 2.83, 4 Ru 2.85
W (0.0000, 0.0000, 0.9873)  4 Ru 2.62, 8 W 2.85-2.86
W (0.5000, 0.5000, 0.2630)  4 Cl 2.62, 8 W 2.85-2.86

Calculated values
mass density	14.041	g/cm3
Fermi-level density of states	1.84	states/eV per cell
space-group type	P4mm
crystal system	tetragonal

---

Run iv
Material: RuW2Cl
Method: DFT, PBEsol
State: relaxed

abc: 3.7732 3.7732 4.9742
angles: 112.29 112.29 90.00
Last column: nearest neighbours and their distance in Å.
Atoms (fractional coordinates):
Cl (0.5000, 0.5000, 0.0000)  8 W 2.67-2.82, 4 Ru 2.82
Ru (0.2500, 0.7500, 0.5000)  8 W 2.67-2.82, 4 Cl 2.82
W (0.0000, 0.0000, 0.0000)  4 Cl 2.67, 4 W 2.82, 4 Ru 2.82
W (0.7500, 0.2500, 0.5000)  4 Ru 2.67, 4 Cl 2.82, 4 W 2.82

Calculated values
mass density	14.008	g/cm3
Fermi-level density of states	4.32	states/eV per cell
space-group type	I-4m2
crystal system	tetragonal

---

So which one is most stable? That would be run iii, about 329 meV/atom below the next structure.

---

Run i
Material: YRuCl2
Method: DFT, PBEsol
State: relaxed

abc: 3.1241 3.1241 9.3117
angles: 90.00 90.00 90.00
Last column: nearest neighbours and their distance in Å.
Atoms (fractional coordinates):
Y (0.5000, 0.5000, 0.5000)  8 Cl 2.74
Ru (0.5000, 0.5000, 0.0000)  4 Ru 3.12
Cl (0.0000, 0.0000, 0.6735)  4 Y 2.74
Cl (0.0000, 0.0000, 0.3265)  4 Y 2.74

Calculated values
mass density	4.767	g/cm3
Fermi-level density of states	2.64	states/eV per cell
space-group type	P4/mmm
crystal system	tetragonal

---

Run ii
Material: YRuCl2
Method: DFT, PBEsol
State: relaxed

abc: 3.7532 3.7532 5.6200
angles: 109.51 109.51 90.00
Last column: nearest neighbours and their distance in Å.
Atoms (fractional coordinates):
Y (0.2500, 0.7500, 0.5000)  4 Cl 2.65
Ru (0.5000, 0.5000, 0.0000)  4 Cl 2.65
Cl (0.0000, 0.0000, 0.0000)  4 Ru 2.65
Cl (0.7500, 0.2500, 0.5000)  4 Y 2.65

Calculated values
mass density	6.208	g/cm3
Fermi-level density of states	2.97	states/eV per cell
space-group type	I-4m2
crystal system	tetragonal

---

So which one is most stable? That would be run ii, about 260 meV/atom below the next structure.

---

Run i
Material: ZnRu2Cl
Method: DFT, PBEsol
State: relaxed

abc: 2.7564 4.8409 5.2735
angles: 118.41 105.15 90.00
Last column: nearest neighbours and their distance in Å.
Atoms (fractional coordinates):
Ru (0.0058, 0.0703, 0.0116)  2 Cl 2.39, 2 Ru 2.56
Ru (0.7260, 0.1073, 0.4520)  2 Cl 2.36, 2 Ru 2.56
Zn (0.4808, 0.5310, 0.9615)  7 Ru 2.67-2.85, 2 Zn 2.76, 1 Cl 2.81
Cl (0.2874, 0.7914, 0.5748)  4 Ru 2.36-2.39

Calculated values
mass density	8.513	g/cm3
Fermi-level density of states	2.31	states/eV per cell
space-group type	Cm
crystal system	monoclinic

---

Run ii
Material: ZnRu2Cl
Method: DFT, PBEsol
State: relaxed

abc: 2.9647 2.9647 6.0651
angles: 90.00 90.00 90.00
Last column: nearest neighbours and their distance in Å.
Atoms (fractional coordinates):
Ru (0.0000, 0.0000, 0.7522)  4 Zn 2.58, 4 Cl 2.60
Ru (0.0000, 0.0000, 0.2478)  4 Zn 2.58, 4 Cl 2.60
Zn (0.5000, 0.5000, 0.0000)  8 Ru 2.58
Cl (0.5000, 0.5000, 0.5000)  8 Ru 2.60

Calculated values
mass density	9.438	g/cm3
Fermi-level density of states	3.78	states/eV per cell
space-group type	P4/mmm
crystal system	tetragonal

---

Run iii
Material: ZnRu2Cl
Method: DFT, PBEsol
State: relaxed

abc: 2.9105 4.2846 4.2846
angles: 90.00 90.00 90.00
Last column: nearest neighbours and their distance in Å.
Atoms (fractional coordinates):
Ru (0.0000, 0.0000, 0.5000)  4 Cl 2.59, 4 Zn 2.59
Ru (0.0000, 0.5000, 0.0000)  4 Cl 2.59, 4 Zn 2.59
Zn (0.5000, 0.5000, 0.5000)  8 Ru 2.59
Cl (0.5000, 0.0000, 0.0000)  8 Ru 2.59

Calculated values
mass density	9.417	g/cm3
Fermi-level density of states	3.90	states/eV per cell
space-group type	P4/mmm
crystal system	tetragonal

---

So which one is most stable? That would be run i, about 56 meV/atom below the next structure.

---

Run i
Material: ZrRu2Cl
Method: DFT, PBEsol
State: relaxed

abc: 2.9228 4.6670 5.2315
angles: 115.24 104.36 94.02
Last column: nearest neighbours and their distance in Å.
Atoms (fractional coordinates):
Ru (0.5000, 0.5000, 0.5000)  2 Cl 2.66, 2 Zr 2.66, 6 Ru 2.67-2.92
Ru (0.0000, 0.0000, 0.5000)  2 Zr 2.66, 2 Cl 2.66, 6 Ru 2.67-2.92
Zr (0.0000, 0.5000, 0.0000)  4 Ru 2.66, 4 Cl 2.67-2.84, 2 Zr 2.92
Cl (0.5000, 0.0000, 0.0000)  4 Ru 2.66, 4 Zr 2.67-2.84, 2 Cl 2.92

Calculated values
mass density	8.913	g/cm3
Fermi-level density of states	3.44	states/eV per cell
space-group type	C2/m
crystal system	monoclinic

---

Run ii
Material: ZrRu2Cl
Method: DFT, PBEsol
State: relaxed

abc: 2.9862 4.5757 4.8944
angles: 103.04 107.76 90.00
Last column: nearest neighbours and their distance in Å.
Atoms (fractional coordinates):
Ru (0.0049, 0.0647, 0.0098)  3 Ru 2.59-2.62, 4 Zr 2.72-2.74
Ru (0.7378, 0.1564, 0.4756)  2 Cl 2.55, 3 Ru 2.59-2.62
Zr (0.5074, 0.5688, 0.0149)  3 Cl 2.63-2.66, 4 Ru 2.72-2.74
Cl (0.2499, 0.7100, 0.4997)  2 Ru 2.55, 3 Zr 2.63-2.66

Calculated values
mass density	8.825	g/cm3
Fermi-level density of states	3.88	states/eV per cell
space-group type	Cm
crystal system	monoclinic

---

Run iii
Material: ZrRu2Cl
Method: DFT, PBEsol
State: relaxed

abc: 3.2622 3.2622 7.0107
angles: 90.00 90.00 90.00
Last column: nearest neighbours and their distance in Å.
Atoms (fractional coordinates):
Ru (0.0000, 0.0000, 0.1078)  4 Ru 2.45, 1 Zr 2.56
Ru (0.5000, 0.5000, 0.2254)  4 Ru 2.45
Zr (0.0000, 0.0000, 0.4723)  1 Ru 2.56, 4 Cl 2.78
Cl (0.5000, 0.5000, 0.6944)  4 Zr 2.78

Calculated values
mass density	7.319	g/cm3
Fermi-level density of states	1.95	states/eV per cell
space-group type	P4mm
crystal system	tetragonal

---

So which one is most stable? That would be run iii, about 195 meV/atom below the next structure.

---

Run i
Material: ZrRuCl2
Method: DFT, PBEsol
State: relaxed

abc: 3.5654 3.7598 6.4119
angles: 90.00 100.80 90.00
Last column: nearest neighbours and their distance in Å.
Atoms (fractional coordinates):
Ru (0.6405, 0.0000, 0.5860)  3 Cl 2.36-2.52, 2 Zr 2.54
Zr (0.2021, 0.5000, 0.6582)  4 Ru 2.54-2.72, 3 Cl 2.64-2.73
Cl (0.0148, 0.0000, 0.9308)  1 Ru 2.36
Cl (0.6427, 0.5000, 0.3251)  2 Ru 2.52, 1 Zr 2.64

Calculated values
mass density	5.177	g/cm3
Fermi-level density of states	1.68	states/eV per cell
space-group type	Pm
crystal system	monoclinic

---

Run ii
Material: ZrRuCl2
Method: DFT, PBEsol
State: relaxed

abc: 3.0592 3.0592 9.4594
angles: 80.69 80.69 60.00
Last column: nearest neighbours and their distance in Å.
Atoms (fractional coordinates):
Ru (0.5000, 0.5000, 0.5000)  6 Ru 3.06, 6 Cl 3.29
Zr (0.0000, 0.0000, 0.0000)  6 Cl 2.57
Cl (0.2664, 0.2664, 0.2007)  3 Zr 2.57
Cl (0.7336, 0.7336, 0.7993)  3 Zr 2.57

Calculated values
mass density	5.803	g/cm3
Fermi-level density of states	2.38	states/eV per cell
space-group type	R-3m
crystal system	trigonal

---

So which one is most stable? That would be run i, about 437 meV/atom below the next structure.